Computed, not measured: an optimized crystal structure of Tb2Pm2Ho at the PBE level of DFT.

For the formation energy, the calculation gives 371 meV per atom. For the total magnetic moment, the calculation gives 0.0 μB/f.u. Its volume is 34.571 A^3/atom. As for the energy above the most stable polymorph in this dataset: 301 meV/atom. Its crystal system is tetragonal.

The space group is I4/mmm (No. 139) and the conventional cell measures 4.5788, 4.5788 and 16.4894 Å, with angles of 90.00, 90.00 and 90.00 degrees. The inequivalent atoms are Tb at (0.0000, 0.0000, 0.0926), Pm at (0.0000, 0.5000, 0.2500) and Ho at (0.0000, 0.0000, 0.5000).